Record 1
## CsDyMgI6 (PBE)

Data for crystalline CsDyMgI6 at its relaxed geometry.

Cell lengths 7.7493, 7.7493, 8.7878 Å; angles 90.00, 90.00, 120.00 degrees
Space group P312 (No. 149)
Symmetry-distinct sites (fractional):
1 Cs 0.0000 0.0000 0.0000 x1
2 Dy 0.3333 0.6667 0.5000 x1
3 Mg 0.6667 0.3333 0.5000 x1
4 I 0.3746 0.0083 0.6972 x6

- Spin magnetization: 0.000 μB/atom
- ρ: 3.93 g/cm3
- Formation energy (no corrections): -1.3166 eV/atom
- Density of states at the Fermi level: 0.00 states/eV/cell
- Total energy: -3.13 eV/atom

=====

Record 2
## LiAsIN2 (PBE)

Data for crystalline LiAsIN2 at its relaxed geometry.

Cell lengths 3.7637, 3.7637, 7.2496 Å; angles 90.00, 90.00, 90.00 degrees
Space group P4/mmm (No. 123)
Symmetry-distinct sites (fractional):
1 Li 0.0000 0.0000 0.0000 x1
2 As 0.5000 0.5000 0.5000 x1
3 I 0.5000 0.5000 0.0000 x1
4 N 0.0000 0.5000 0.5000 x2

- Spin magnetization: 0.146 μB/atom
- Excess energy over the best structure of this formula in the dataset: 0 meV/atom
- ρ: 3.83 g/cm3
- Formation energy (no corrections): 0.7612 eV/atom
- Density of states at the Fermi level: 1.21 states/eV/cell
- Total energy: -4.19 eV/atom

=====

Record 3
## Cu2AgAs2 (PBE)

Data for crystalline Cu2AgAs2 at its relaxed geometry.

Cell lengths 4.1335, 4.1335, 10.2787 Å; angles 90.00, 90.00, 90.00 degrees
Space group I4/mmm (No. 139)
Symmetry-distinct sites (fractional):
1 Cu 0.0000 0.5000 0.2500 x4
2 Ag 0.0000 0.0000 0.0000 x2
3 As 0.0000 0.0000 0.3795 x4

- Energy of formation from the pure elements: 0.17 eV/atom
- Spin magnetization: 0.000 μB/atom
- Excess energy over the best structure of this formula in the dataset: 0 meV/atom
- ρ: 7.28 g/cm3
- Density of states at the Fermi level: 4.51 states/eV/cell
- Total energy: -3.90 eV/atom

=====

Record 4
## Ac2Al5Ag4 (PBE)

Data for crystalline Ac2Al5Ag4 at its relaxed geometry.

Cell lengths 13.1089, 5.6164, 9.1353 Å; angles 90.00, 130.48, 90.00 degrees
Space group C2/m (No. 12)
Symmetry-distinct sites (fractional):
1 Ac 0.2193 0.0000 0.2635 x4
2 Al 0.0000 0.5000 0.0000 x2
3 Al 0.0301 0.2558 0.7630 x8
4 Ag 0.1271 0.0000 0.5483 x4
5 Ag 0.2411 0.5000 0.0630 x4

- Energy of formation from the pure elements: -0.21 eV/atom
- Spin magnetization: 0.000 μB/atom
- Excess energy over the best structure of this formula in the dataset: 68 meV/atom
- ρ: 6.62 g/cm3
- Density of states at the Fermi level: 7.94 states/eV/cell
- Total energy: -3.69 eV/atom

=====

Record 5
## NaZr2Cu (PBE)

Data for crystalline NaZr2Cu at its relaxed geometry.

Cell lengths 4.0649, 4.0649, 21.3956 Å; angles 90.00, 90.00, 90.00 degrees
Space group I-42d (No. 122)
Symmetry-distinct sites (fractional):
1 Na 0.0000 0.0000 0.0000 x4
2 Zr 0.2351 0.2500 0.6250 x8
3 Cu 0.0000 0.0000 0.5000 x4

- Energy of formation from the pure elements: 0.69 eV/atom
- Spin magnetization: 0.000 μB/atom
- Excess energy over the best structure of this formula in the dataset: 239 meV/atom
- ρ: 5.05 g/cm3
- Density of states at the Fermi level: 15.14 states/eV/cell
- Total energy: -4.94 eV/atom

=====

Record 6
## NiTe2Cl (PBE)

Data for crystalline NiTe2Cl at its relaxed geometry.

Cell lengths 4.3994, 4.9509, 5.5153 Å; angles 90.00, 110.93, 90.00 degrees
Space group Pm (No. 6)
Symmetry-distinct sites (fractional):
1 Ni 0.0000 0.0000 0.0000 x1
2 Te 0.1695 0.5000 0.0593 x1
3 Te 0.6139 0.0000 0.2220 x1
4 Cl 0.2072 0.5000 0.5780 x1

- Spin magnetization: 0.000 μB/atom
- ρ: 5.17 g/cm3
- Formation energy (no corrections): 0.0260 eV/atom
- Density of states at the Fermi level: 2.49 states/eV/cell
- Total energy: -3.45 eV/atom

=====

Record 7
## MnHgW2N (PBE)

Data for crystalline MnHgW2N at its relaxed geometry.

Cell lengths 5.0266, 5.0266, 4.9064 Å; angles 90.00, 90.00, 90.00 degrees
Space group P4/mmm (No. 123)
Symmetry-distinct sites (fractional):
1 Mn 0.0000 0.0000 0.0000 x1
2 Hg 0.0000 0.0000 0.5000 x1
3 W 0.0000 0.5000 0.5000 x2
4 N 0.5000 0.5000 0.0000 x1

- Spin magnetization: 0.943 μB/atom
- ρ: 8.54 g/cm3
- Formation energy (no corrections): 3.7072 eV/atom
- Density of states at the Fermi level: 7.79 states/eV/cell
- Total energy: -5.03 eV/atom

=====

Record 8
## RbMn2V (PBE)

Data for crystalline RbMn2V at its relaxed geometry.

Cell lengths 5.5722, 5.5722, 15.6910 Å; angles 90.00, 90.00, 90.00 degrees
Space group I4_1/amd (No. 141, origin choice 2)
Symmetry-distinct sites (fractional):
1 Rb 0.0000 0.2500 0.3750 x4
2 Mn 0.0000 0.0000 0.0000 x8
3 V 0.0000 0.2500 0.8750 x4

- Energy of formation from the pure elements: 1.20 eV/atom
- Spin magnetization: 1.070 μB/atom
- Excess energy over the best structure of this formula in the dataset: 0 meV/atom
- ρ: 3.36 g/cm3
- Density of states at the Fermi level: 12.81 states/eV/cell
- Total energy: -5.91 eV/atom

=====

Record 9
## U6Pb4O19 (PBE)

Data for crystalline U6Pb4O19 at its relaxed geometry.

Cell lengths 10.1241, 10.1241, 10.1241 Å; angles 90.00, 90.00, 90.00 degrees
Space group I23 (No. 197)
Symmetry-distinct sites (fractional):
1 U 0.0000 0.1709 0.5000 x12
2 Pb 0.1419 0.1419 0.1419 x8
3 O 0.0000 0.0000 0.0000 x2
4 O 0.0000 0.0000 0.3696 x12
5 O 0.0206 0.2904 0.3233 x24

- Spin magnetization: 0.208 μB/atom
- ρ: 8.20 g/cm3
- Formation energy (no corrections): -2.5989 eV/atom
- Density of states at the Fermi level: 27.41 states/eV/cell
- Total energy: -8.69 eV/atom

=====

Record 10
## Dy4TiGa12 (PBE)

Data for crystalline Dy4TiGa12 at its relaxed geometry.

Cell lengths 8.6888, 8.6888, 8.6888 Å; angles 90.00, 90.00, 90.00 degrees
Space group Im-3m (No. 229)
Symmetry-distinct sites (fractional):
1 Dy 0.2500 0.2500 0.2500 x8
2 Ti 0.0000 0.0000 0.0000 x2
3 Ga 0.0000 0.0000 0.2959 x12
4 Ga 0.0000 0.2500 0.5000 x12

- Energy of formation from the pure elements: -0.53 eV/atom
- Spin magnetization: 0.000 μB/atom
- ρ: 7.77 g/cm3
- Density of states at the Fermi level: 16.00 states/eV/cell
- Total energy: -4.22 eV/atom

=====

Record 11
## CrSbP (PBE)

Data for crystalline CrSbP at its relaxed geometry.

Cell lengths 3.0268, 3.0268, 12.0128 Å; angles 90.00, 90.00, 90.00 degrees
Space group I4mm (No. 107)
Symmetry-distinct sites (fractional):
1 Cr 0.0000 0.0000 0.0000 x2
2 Sb 0.0000 0.0000 0.3335 x2
3 P 0.0000 0.0000 0.5884 x2

- Spin magnetization: 0.432 μB/atom
- Excess energy over the best structure of this formula in the dataset: 266 meV/atom
- ρ: 6.18 g/cm3
- Formation energy (no corrections): 0.1029 eV/atom
- Density of states at the Fermi level: 5.36 states/eV/cell
- Total energy: -6.28 eV/atom

=====

Record 12
## NbV2 (PBE)

Data for crystalline NbV2 at its relaxed geometry.

Cell lengths 3.1244, 4.4482, 6.7115 Å; angles 90.00, 102.03, 90.00 degrees
Space group C2/m (No. 12)
Symmetry-distinct sites (fractional):
1 Nb 0.0000 0.0000 0.0000 x2
2 V 0.1785 0.5000 0.3534 x4

- Energy of formation from the pure elements: 0.05 eV/atom
- Spin magnetization: 0.000 μB/atom
- ρ: 7.09 g/cm3
- Density of states at the Fermi level: 9.73 states/eV/cell
- Total energy: -9.39 eV/atom